No. 1
# LiCr3Ge

An optimized crystal structure of LiCr3Ge (PBE-GGA, Alexandria via LeMat-Bulk).

```
LiCr3Ge
1.0
3.992 0.000 0.000
0.000 3.992 0.000
0.000 0.000 3.992
Cr Ge Li
3 1 1
Direct
0.000 0.500 0.000
0.000 0.000 0.500
0.500 0.000 0.000
0.500 0.500 0.500
0.000 0.000 0.000
```

Properties
E_form   1.25 eV/atom
Energy relative to the lowest polymorph listed for this composition   0.294 eV per atom

=====

No. 2
# LiCr3Ge

An optimized crystal structure of LiCr3Ge (PBE-GGA, Alexandria via LeMat-Bulk).

```
LiCr3Ge
1.0
-3.819 -2.566 1.549
1.208 -3.614 -3.009
2.744 -1.982 3.481
Cr Ge Li
3 1 1
Direct
0.000 0.500 0.000
0.000 0.000 0.500
0.500 0.000 0.000
0.000 0.000 0.000
0.500 0.500 0.500
```

Properties
E_form   0.95 eV/atom
Energy relative to the lowest polymorph listed for this composition   0.000 eV per atom

=====

No. 3
# Li3CrGe

An optimized crystal structure of Li3CrGe (PBE-GGA, Alexandria via LeMat-Bulk).

```
Li3CrGe
1.0
4.733 0.000 0.000
0.000 4.733 0.000
0.000 0.000 4.733
Cr Ge Li
1 1 3
Direct
0.500 0.500 0.500
0.000 0.000 0.000
0.000 0.500 0.000
0.000 0.000 0.500
0.500 0.000 0.000
```

Properties
E_form   0.46 eV/atom
Energy relative to the lowest polymorph listed for this composition   0.000 eV per atom